The following is a GGA-PBE calculation of a relaxed structure of CdSnHg2I4, from Alexandria.

a = 7.3244 Å, b = 7.4863 Å, c = 7.6283 Å
α = 62.13°, β = 78.43°, γ = 70.41°
With the nearest neighbours (Å) after each atom.
Sites, in units of the cell vectors:
Cd 0.0000 0.0000 0.0000  4 I 2.83-2.84
Sn 0.6258 0.7975 0.6674  4 I 3.07-3.20, 2 Hg 3.14-3.15
Hg 0.3897 0.2560 0.3966  1 Sn 3.14, 1 Hg 3.20
Hg 0.4068 0.5376 0.6019  1 Sn 3.15, 1 Hg 3.20
I 0.4026 0.9488 0.0010  1 Cd 2.84
I 0.8090 0.3886 0.0207  1 Cd 2.84, 1 Sn 3.07
I 0.9177 0.6611 0.3505  1 Cd 2.83
I 0.9369 0.0058 0.6433  1 Cd 2.83, 1 Sn 3.10

Its final energy is -1.83 eV/atom. As for the size of the total moment: 0.00 μB/cell.

---

The following is a GGA-PBE calculation of a relaxed structure of LiScRe4, from Alexandria.

a = 5.2425 Å, b = 5.2425 Å, c = 5.2425 Å
α = 60.00°, β = 60.00°, γ = 60.00°
With the nearest neighbours (Å) after each atom.
Sites, in units of the cell vectors:
Li 0.0000 0.0000 0.0000  12 Re 3.07, 4 Sc 3.21
Sc 0.2500 0.2500 0.2500  12 Re 3.07, 4 Li 3.21
Re 0.1234 0.6255 0.6255  6 Re 2.61-2.63
Re 0.6255 0.1234 0.6255  6 Re 2.61-2.63
Re 0.6255 0.6255 0.1234  6 Re 2.61-2.63
Re 0.6255 0.6255 0.6255  6 Re 2.61-2.63

The formation energy is 7.6 kJ per mole of atoms. As for the size of the total moment: 0.00 μB/cell.

---

The following is a GGA-PBE calculation of a relaxed structure of LuCdAgHg, from Alexandria.

a = 4.9491 Å, b = 4.9491 Å, c = 4.9491 Å
α = 60.00°, β = 60.00°, γ = 60.00°
With the nearest neighbours (Å) after each atom.
Sites, in units of the cell vectors:
Lu 0.0000 0.0000 0.0000  4 Hg 3.03, 4 Ag 3.03
Cd 0.5000 0.5000 0.5000  4 Ag 3.03, 4 Hg 3.03
Ag 0.2500 0.2500 0.2500  4 Cd 3.03, 4 Lu 3.03
Hg 0.7500 0.7500 0.7500  4 Cd 3.03, 4 Lu 3.03

The formation energy is -28.6 kJ per mole of atoms. As for the size of the total moment: 0.00 μB/cell.

---

The following is a GGA-PBE calculation of a relaxed structure of CoICl, from Alexandria.

a = 6.8016 Å, b = 7.2286 Å, c = 7.3455 Å
α = 118.53°, β = 116.52°, γ = 91.82°
With the nearest neighbours (Å) after each atom.
Sites, in units of the cell vectors:
Co 0.0000 0.0000 0.0000  2 Cl 2.23-2.30, 1 Co 2.34
Co 0.3443 0.9999 0.9998  2 Cl 2.23-2.30, 1 Co 2.34
I 0.3461 0.0084 0.3599  2 Co 2.61
I 0.9848 0.6507 0.6363  2 Co 2.61
Cl 0.1835 0.2753 0.0037  2 Co 2.30
Cl 0.6725 0.0178 0.9994  2 Co 2.23

Its final energy is -3.70 eV/atom. As for the size of the total moment: 6.02 μB/cell.

---

The following is a GGA-PBE calculation of a relaxed structure of TbSb2Pd5, from Alexandria.

a = 6.8660 Å, b = 6.8660 Å, c = 6.8660 Å
α = 146.13°, β = 116.89°, γ = 73.58°
With the nearest neighbours (Å) after each atom.
Sites, in units of the cell vectors:
Tb 0.0000 0.0000 0.0000  10 Pd 3.24-3.59, 4 Sb 3.48
Sb 0.2590 0.7590 0.5000  7 Pd 2.58-2.78
Sb 0.7410 0.2410 0.5000  7 Pd 2.58-2.78
Pd 0.1692 0.3729 0.7963  3 Sb 2.58-2.78, 3 Pd 2.79-2.85
Pd 0.4234 0.6271 0.7963  3 Sb 2.58-2.78, 3 Pd 2.79-2.85
Pd 0.5000 0.0000 0.5000  2 Sb 2.65, 8 Pd 2.85
Pd 0.5766 0.3729 0.2037  3 Sb 2.58-2.78, 3 Pd 2.79-2.85
Pd 0.8308 0.6271 0.2037  3 Sb 2.58-2.78, 3 Pd 2.79-2.85

Its final energy is -5.42 eV/atom. As for the size of the total moment: 0.00 μB/cell.

---

The following is a GGA-PBE calculation of a relaxed structure of Zr2SiB, from Alexandria.

a = 4.5269 Å, b = 4.5269 Å, c = 4.5269 Å
α = 60.00°, β = 60.00°, γ = 60.00°
With the nearest neighbours (Å) after each atom.
Sites, in units of the cell vectors:
Zr 0.2500 0.2500 0.2500  4 B 2.77, 4 Si 2.77
Zr 0.7500 0.7500 0.7500  4 B 2.77, 4 Si 2.77
Si 0.0000 0.0000 0.0000  8 Zr 2.77
B 0.5000 0.5000 0.5000  8 Zr 2.77

Its final energy is -7.26 eV/atom. As for the size of the total moment: 0.00 μB/cell.

---

The following is a GGA-PBE calculation of a relaxed structure of LiPm2TiO6, from Alexandria.

a = 5.4126 Å, b = 5.8338 Å, c = 9.2784 Å
α = 90.00°, β = 124.20°, γ = 90.00°
With the nearest neighbours (Å) after each atom.
Sites, in units of the cell vectors:
Li 0.0000 0.0000 0.0000  6 O 2.07-2.19
Li 0.0000 0.5000 0.5000  6 O 2.07-2.19
Pm 0.2278 0.0754 0.7475  7 O 2.34-2.62
Pm 0.2278 0.4246 0.2475  7 O 2.34-2.62
Pm 0.7722 0.5754 0.7525  7 O 2.34-2.62
Pm 0.7722 0.9246 0.2525  7 O 2.34-2.62
Ti 0.5000 0.0000 0.5000  6 O 1.95-1.99
Ti 0.5000 0.5000 0.0000  6 O 1.95-1.99
O 0.1544 0.1801 0.4512  1 Ti 1.96, 1 Li 2.19
O 0.1544 0.3199 0.9512  1 Ti 1.96, 1 Li 2.19
O 0.2669 0.7109 0.4445  1 Ti 1.99, 1 Li 2.17
O 0.2669 0.7891 0.9445  1 Ti 1.99, 1 Li 2.17
O 0.3600 0.0350 0.2560  1 Ti 1.95, 1 Li 2.07
O 0.3600 0.4650 0.7560  1 Ti 1.95, 1 Li 2.07
O 0.6400 0.5350 0.2440  1 Ti 1.95, 1 Li 2.07
O 0.6400 0.9650 0.7440  1 Ti 1.95, 1 Li 2.07
O 0.7331 0.2109 0.0555  1 Ti 1.99, 1 Li 2.17
O 0.7331 0.2891 0.5555  1 Ti 1.99, 1 Li 2.17
O 0.8456 0.6801 0.0488  1 Ti 1.96, 1 Li 2.19
O 0.8456 0.8199 0.5488  1 Ti 1.96, 1 Li 2.19

Its final energy is -7.80 eV/atom. As for the size of the total moment: 2.12 μB/cell.

---

The following is a GGA-PBE calculation of a relaxed structure of Tb2Ni2Rh, from Alexandria.

a = 5.3154 Å, b = 5.3154 Å, c = 5.3154 Å
α = 131.02°, β = 123.55°, γ = 77.94°
With the nearest neighbours (Å) after each atom.
Sites, in units of the cell vectors:
Tb 0.1998 0.1998 0.0000  6 Ni 2.81-3.00, 2 Rh 3.01
Tb 0.8002 0.8002 0.0000  6 Ni 2.81-3.00, 2 Rh 3.01
Ni 0.2388 0.5000 0.7388  2 Ni 2.40-2.63, 2 Rh 2.57
Ni 0.7612 0.5000 0.2612  2 Ni 2.40-2.63, 2 Rh 2.57
Rh 0.5000 0.0000 0.5000  4 Ni 2.57

The formation energy is -52.4 kJ per mole of atoms. As for the size of the total moment: 0.00 μB/cell.

---

The following is a GGA-PBE calculation of a relaxed structure of Zr3V5H12, from Alexandria.

a = 9.5634 Å, b = 9.5634 Å, c = 9.5634 Å
α = 109.47°, β = 109.47°, γ = 109.47°
With the nearest neighbours (Å) after each atom.
Sites, in units of the cell vectors:
Zr 0.1250 0.2500 0.3750  8 H 2.07-2.08
Zr 0.1250 0.3750 0.7500  8 H 2.07-2.08
Zr 0.2500 0.3750 0.1250  8 H 2.07-2.08
Zr 0.2500 0.8750 0.6250  8 H 2.07-2.08
Zr 0.3750 0.1250 0.2500  8 H 2.07-2.08
Zr 0.3750 0.7500 0.1250  8 H 2.07-2.08
Zr 0.6250 0.2500 0.8750  8 H 2.07-2.08
Zr 0.6250 0.8750 0.7500  8 H 2.07-2.08
Zr 0.7500 0.1250 0.3750  8 H 2.07-2.08
Zr 0.7500 0.6250 0.8750  8 H 2.07-2.08
Zr 0.8750 0.6250 0.2500  8 H 2.07-2.08
Zr 0.8750 0.7500 0.6250  8 H 2.07-2.08
V 0.0000 0.0000 0.0000  6 H 1.78
V 0.0000 0.0000 0.5000  6 H 1.78
V 0.0000 0.5000 0.0000  6 H 1.78
V 0.0000 0.5000 0.5000  6 H 1.78
V 0.1250 0.7500 0.8750  4 H 1.78
V 0.1250 0.8750 0.2500  4 H 1.78
V 0.2500 0.1250 0.8750  4 H 1.78
V 0.2500 0.6250 0.3750  4 H 1.78
V 0.3750 0.2500 0.6250  4 H 1.78
V 0.3750 0.6250 0.7500  4 H 1.78
V 0.5000 0.0000 0.0000  6 H 1.78
V 0.5000 0.0000 0.5000  6 H 1.78
V 0.5000 0.5000 0.0000  6 H 1.78
V 0.5000 0.5000 0.5000  6 H 1.78
V 0.6250 0.3750 0.2500  4 H 1.78
V 0.6250 0.7500 0.3750  4 H 1.78
V 0.7500 0.3750 0.6250  4 H 1.78
V 0.7500 0.8750 0.1250  4 H 1.78
V 0.8750 0.1250 0.7500  4 H 1.78
V 0.8750 0.2500 0.1250  4 H 1.78
H 0.0461 0.2113 0.1290  2 V 1.78
H 0.0461 0.3347 0.9171  2 V 1.78
H 0.0823 0.7113 0.6653  2 V 1.78
H 0.0823 0.8710 0.4171  2 V 1.78
H 0.0829 0.6290 0.4177  2 V 1.78
H 0.0829 0.9539 0.6653  2 V 1.78
H 0.1290 0.0461 0.2113  2 V 1.78
H 0.1290 0.5829 0.9177  2 V 1.78
H 0.1653 0.2113 0.5823  2 V 1.78
H 0.1653 0.4539 0.5829  2 V 1.78
H 0.2113 0.1290 0.0461  2 V 1.78
H 0.2113 0.5823 0.1653  2 V 1.78
H 0.2887 0.3347 0.9177  2 V 1.78
H 0.2887 0.4539 0.3710  2 V 1.78
H 0.3347 0.9171 0.0461  2 V 1.78
H 0.3347 0.9177 0.2887  2 V 1.78
H 0.3710 0.2887 0.4539  2 V 1.78
H 0.3710 0.5823 0.9171  2 V 1.78
H 0.4171 0.0823 0.8710  2 V 1.78
H 0.4171 0.8347 0.5461  2 V 1.78
H 0.4177 0.0829 0.6290  2 V 1.78
H 0.4177 0.8347 0.7887  2 V 1.78
H 0.4539 0.3710 0.2887  2 V 1.78
H 0.4539 0.5829 0.1653  2 V 1.78
H 0.5461 0.4171 0.8347  2 V 1.78
H 0.5461 0.6290 0.7113  2 V 1.78
H 0.5823 0.1653 0.2113  2 V 1.78
H 0.5823 0.9171 0.3710  2 V 1.78
H 0.5829 0.1653 0.4539  2 V 1.78
H 0.5829 0.9177 0.1290  2 V 1.78
H 0.6290 0.4177 0.0829  2 V 1.78
H 0.6290 0.7113 0.5461  2 V 1.78
H 0.6653 0.0823 0.7113  2 V 1.78
H 0.6653 0.0829 0.9539  2 V 1.78
H 0.7113 0.5461 0.6290  2 V 1.78
H 0.7113 0.6653 0.0823  2 V 1.78
H 0.7887 0.4177 0.8347  2 V 1.78
H 0.7887 0.8710 0.9539  2 V 1.78
H 0.8347 0.5461 0.4171  2 V 1.78
H 0.8347 0.7887 0.4177  2 V 1.78
H 0.8710 0.4171 0.0823  2 V 1.78
H 0.8710 0.9539 0.7887  2 V 1.78
H 0.9171 0.0461 0.3347  2 V 1.78
H 0.9171 0.3710 0.5823  2 V 1.78
H 0.9177 0.1290 0.5829  2 V 1.78
H 0.9177 0.2887 0.3347  2 V 1.78
H 0.9539 0.6653 0.0829  2 V 1.78
H 0.9539 0.7887 0.8710  2 V 1.78

Its final energy is -5.86 eV/atom. As for the size of the total moment: 0.00 μB/cell.

---

The following is a GGA-PBE calculation of a relaxed structure of ZnPtIO2, from Alexandria.

a = 3.8043 Å, b = 3.8043 Å, c = 7.3207 Å
α = 90.00°, β = 90.00°, γ = 90.00°
With the nearest neighbours (Å) after each atom.
Sites, in units of the cell vectors:
Zn 0.0000 0.0000 0.0000  4 O 1.90
Pt 0.5000 0.5000 0.5000  4 I 2.69
I 0.0000 0.0000 0.5000  4 Pt 2.69
O 0.0000 0.5000 0.0000  2 Zn 1.90
O 0.5000 0.0000 0.0000  2 Zn 1.90

Its final energy is -3.54 eV/atom. As for the size of the total moment: 1.47 μB/cell.